(1)
A relaxed DyYErSc crystal. Source: the Alexandria database, functional PBE-GGA.

```
DyYErSc
1.0
7.8222 0.0000 0.0000
0.0000 7.8222 0.0000
0.0000 0.0000 7.8222
Dy Y Er Sc
4 4 4 4
direct
0.0000 0.0000 0.0000
0.0000 0.5000 0.5000
0.5000 0.0000 0.5000
0.5000 0.5000 0.0000
0.0000 0.0000 0.5000
0.0000 0.5000 0.0000
0.5000 0.0000 0.0000
0.5000 0.5000 0.5000
0.2500 0.2500 0.7500
0.2500 0.7500 0.2500
0.7500 0.2500 0.2500
0.7500 0.7500 0.7500
0.2500 0.2500 0.2500
0.2500 0.7500 0.7500
0.7500 0.2500 0.7500
0.7500 0.7500 0.2500
```

Results
Distance to the lowest polymorph of the same formula ... 31 kJ/mol of formula units


(2)
A relaxed DyY2Er2Sc crystal. Source: the Alexandria database, functional PBE-GGA.

```
DyY2Er2Sc
1.0
6.4570 0.0000 0.0000
0.0000 17.3427 0.0000
0.0000 0.0000 3.3197
Dy Y Er Sc
2 4 4 2
direct
0.0000 0.0000 0.0000
0.5000 0.5000 0.5000
0.2447 0.3175 0.0000
0.2553 0.8175 0.5000
0.7447 0.1825 0.5000
0.7553 0.6825 0.0000
0.2440 0.1449 0.5000
0.2560 0.6449 0.0000
0.7440 0.3551 0.0000
0.7560 0.8551 0.5000
0.0000 0.5000 0.0000
0.5000 0.0000 0.5000
```


(3)
A relaxed Dy6Y3ErSc2 crystal. Source: the Alexandria database, functional PBE-GGA.

```
Dy6Y3ErSc2
1.0
3.0372 -5.2553 0.0000
3.0372 5.2553 0.0000
-2.0196 0.0000 11.3943
Dy Y Er Sc
6 3 1 2
direct
0.0832 0.4188 0.7570
0.2455 0.2455 0.2429
0.4188 0.0832 0.7570
0.5812 0.9168 0.2430
0.7545 0.7545 0.7571
0.9168 0.5812 0.2430
0.0000 0.0000 0.5000
0.3331 0.6669 0.5000
0.6669 0.3331 0.5000
0.5000 0.5000 0.0000
0.1667 0.8333 0.0000
0.8333 0.1667 0.0000
```


(4)
A relaxed Dy2YErSc4 crystal. Source: the Alexandria database, functional PBE-GGA.

```
Dy2YErSc4
1.0
4.8746 0.0000 0.0000
0.0000 4.8746 0.0000
0.0000 0.0000 9.3563
Dy Y Er Sc
2 1 1 4
direct
0.0000 0.0000 0.0000
0.5000 0.5000 0.5000
0.0000 0.0000 0.5000
0.5000 0.5000 0.0000
0.0000 0.5000 0.2485
0.0000 0.5000 0.7515
0.5000 0.0000 0.2485
0.5000 0.0000 0.7515
```


(5)
A relaxed Dy6Y2Er3Sc crystal. Source: the Alexandria database, functional PBE-GGA.

```
Dy6Y2Er3Sc
1.0
3.0465 -5.2713 0.0000
3.0465 5.2713 0.0000
-2.0220 0.0000 11.4620
Dy Y Er Sc
6 2 3 1
direct
0.0829 0.4134 0.7492
0.2475 0.2475 0.2506
0.4134 0.0829 0.7492
0.5866 0.9171 0.2508
0.7525 0.7525 0.7494
0.9171 0.5866 0.2508
0.3333 0.6667 0.5000
0.6667 0.3333 0.5000
0.1665 0.8335 0.0000
0.5000 0.5000 0.0000
0.8335 0.1665 0.0000
0.0000 0.0000 0.5000
```


(6)
A relaxed DyY2Er6Sc3 crystal. Source: the Alexandria database, functional PBE-GGA.

```
DyY2Er6Sc3
1.0
3.0061 -5.2021 0.0000
3.0061 5.2021 0.0000
-1.9992 0.0000 11.2504
Dy Y Er Sc
1 2 6 3
direct
0.0000 0.0000 0.0000
0.3333 0.6667 0.0000
0.6667 0.3333 0.0000
0.0868 0.4195 0.2598
0.2460 0.2460 0.7403
0.4195 0.0868 0.2598
0.5805 0.9132 0.7402
0.7540 0.7540 0.2597
0.9132 0.5805 0.7402
0.1667 0.8333 0.5000
0.5000 0.5000 0.5000
0.8333 0.1667 0.5000
```


(7)
A relaxed Dy2Y6ErSc crystal. Source: the Alexandria database, functional PBE-GGA.

```
Dy2Y6ErSc
1.0
4.5891 -7.9030 0.0000
4.5891 7.9030 0.0000
-0.4624 0.0000 8.7159
Dy Y Er Sc
4 12 2 2
direct
0.1845 0.2888 0.4478
0.2888 0.1845 0.9478
0.7112 0.8155 0.0522
0.8155 0.7112 0.5522
0.0298 0.7666 0.9086
0.0403 0.4517 0.7053
0.2334 0.9702 0.5914
0.2943 0.6269 0.0513
0.3731 0.7057 0.4487
0.4517 0.0403 0.2053
0.5483 0.9597 0.7947
0.6269 0.2943 0.5513
0.7057 0.3731 0.9487
0.7666 0.0298 0.4086
0.9597 0.5483 0.2947
0.9702 0.2334 0.0914
0.4672 0.5328 0.7500
0.5328 0.4672 0.2500
0.0549 0.9451 0.2500
0.9451 0.0549 0.7500
```


(8)
A relaxed Dy6Y2ErSc crystal. Source: the Alexandria database, functional PBE-GGA.

```
Dy6Y2ErSc
1.0
4.5202 -7.4125 0.0000
4.5202 7.4125 0.0000
-1.1503 0.0000 9.3067
Dy Y Er Sc
12 4 2 2
direct
0.0066 0.5654 0.1907
0.1259 0.7543 0.5557
0.2457 0.8741 0.9443
0.2918 0.5087 0.3837
0.4346 0.9934 0.3093
0.4913 0.7082 0.1163
0.5087 0.2918 0.8837
0.5654 0.0066 0.6907
0.7082 0.4913 0.6163
0.7543 0.1259 0.0557
0.8741 0.2457 0.4443
0.9934 0.4346 0.8093
0.2014 0.3028 0.0465
0.3028 0.2014 0.5465
0.6972 0.7986 0.4535
0.7986 0.6972 0.9535
0.0233 0.9767 0.2500
0.9767 0.0233 0.7500
0.4134 0.5866 0.7500
0.5866 0.4134 0.2500
```


| no. | DFT total energy (eV per atom) |
| --- | --- |
| 1 | -5.363 |
| 2 | -5.225 |
| 3 | -5.313 |
| 4 | -5.641 |
| 5 | -5.018 |
| 6 | -5.279 |
| 7 | -5.767 |
| 8 | -5.012 |